A geometry-optimized NpScPaGa structure. Source: Alexandria via LeMat-Bulk, functional GGA-PBE.

a = 7.020 Å, b = 7.020 Å, c = 7.020 Å
α = 90.00°, β = 90.00°, γ = 90.00°
Element x y z (fractional)
1 Np 0.000 0.000 0.000
2 Np 0.000 0.500 0.500
3 Np 0.500 0.000 0.500
4 Np 0.500 0.500 0.000
5 Sc 0.250 0.250 0.250
6 Sc 0.250 0.750 0.750
7 Sc 0.750 0.250 0.750
8 Sc 0.750 0.750 0.250
9 Pa 0.250 0.250 0.750
10 Pa 0.250 0.750 0.250
11 Pa 0.750 0.250 0.250
12 Pa 0.750 0.750 0.750
13 Ga 0.000 0.000 0.500
14 Ga 0.000 0.500 0.000
15 Ga 0.500 0.000 0.000
16 Ga 0.500 0.500 0.500

Output
Spin magnetization in μB per atom: 1.61
ΔH_f (0 K) in eV per atom: 0.117
VASP energy in eV per cell: -125.30